*P*
Material: AcBiAu
Method: DFT, PBE
State: relaxed

Output
SG = F-43m, No. 216
theoretical density = 9.5 Mg/m³
crystal system = cubic

Cell lengths 5.390, 5.390, 5.390 Å; angles 60.00, 60.00, 60.00 degrees
Atoms (fractional coordinates):
Ac 0.000 0.000 0.000
Au 0.250 0.250 0.250
Bi 0.750 0.750 0.750



*Q*
Material: AcBiAu
Method: DFT, PBE
State: relaxed

Output
SG = F-43m, No. 216
theoretical density = 10.7 Mg/m³
crystal system = cubic

Cell lengths 5.177, 5.177, 5.177 Å; angles 60.00, 60.00, 60.00 degrees
Atoms (fractional coordinates):
Bi 0.750 0.750 0.750
Ac 0.250 0.250 0.250
Au 0.000 0.000 0.000



Computed energies relative to the best structure, in meV/atom: *P* 338; *Q* 0